## AlTePt2 (GGA-PBEsol)

Data for an optimized crystal structure of AlTePt2.

Structure (CIF):
```
data_AlTePt2
_cell_length_a 4.0480
_cell_length_b 4.0480
_cell_length_c 15.8112
_cell_angle_alpha 90.00
_cell_angle_beta 90.00
_cell_angle_gamma 120.00
_symmetry_space_group_name_H-M 'R 3 m'
_symmetry_Int_Tables_number 160
_symmetry_space_group_name_Hall 'R 3 -2"'
loop_
_atom_site_label
_atom_site_fract_x
_atom_site_fract_y
_atom_site_fract_z
Al1 0.0000 0.0000 0.0000
Te1 0.0000 0.0000 0.8224
Pt1 0.0000 0.0000 0.3834
Pt2 0.0000 0.0000 0.6017
```

## Properties
For the density of states at the Fermi level, the calculation gives 0.56 states/eV per atom. The total energy comes out at -68.85 eV/cell.

## AlTePt4 (GGA-PBEsol)

Data for an optimized crystal structure of AlTePt4.

Structure (CIF):
```
data_AlTePt4
_cell_length_a 7.4605
_cell_length_b 7.4605
_cell_length_c 7.4605
_cell_angle_alpha 90.00
_cell_angle_beta 90.00
_cell_angle_gamma 90.00
_symmetry_space_group_name_H-M 'F -4 3 m'
_symmetry_Int_Tables_number 216
_symmetry_space_group_name_Hall 'F -4 2 3'
loop_
_atom_site_label
_atom_site_fract_x
_atom_site_fract_y
_atom_site_fract_z
Al1 0.0000 0.0000 0.0000
Te1 0.2500 0.2500 0.7500
Pt1 0.1252 0.1252 0.3748
```

## Properties
For the density of states at the Fermi level, the calculation gives 0.60 states/eV per atom. The total energy comes out at -141.13 eV/cell.

Which value of density of states at the Fermi level does entry 2 give? 0.60 states/eV per atom

Repeat the first record exactly.
## AlTePt2 (GGA-PBEsol)

Data for an optimized crystal structure of AlTePt2.

Structure (CIF):
```
data_AlTePt2
_cell_length_a 4.0480
_cell_length_b 4.0480
_cell_length_c 15.8112
_cell_angle_alpha 90.00
_cell_angle_beta 90.00
_cell_angle_gamma 120.00
_symmetry_space_group_name_H-M 'R 3 m'
_symmetry_Int_Tables_number 160
_symmetry_space_group_name_Hall 'R 3 -2"'
loop_
_atom_site_label
_atom_site_fract_x
_atom_site_fract_y
_atom_site_fract_z
Al1 0.0000 0.0000 0.0000
Te1 0.0000 0.0000 0.8224
Pt1 0.0000 0.0000 0.3834
Pt2 0.0000 0.0000 0.6017
```

## Properties
For the density of states at the Fermi level, the calculation gives 0.56 states/eV per atom. The total energy comes out at -68.85 eV/cell.